First-principles (PBE) data for Mn5W3 after structural relaxation, as listed in the Alexandria database.

The structure in POSCAR format:
```
Mn5W3
1.0
7.2320 0.0000 0.0000
-3.6160 6.2631 0.0000
0.0000 0.0000 4.8884
Mn W
10 6
Direct
0.0000 0.2257 0.2500
0.0000 0.7743 0.7500
0.2257 0.0000 0.2500
0.2257 0.2257 0.7500
0.3333 0.6667 0.0000
0.3333 0.6667 0.5000
0.6667 0.3333 0.0000
0.6667 0.3333 0.5000
0.7743 0.0000 0.7500
0.7743 0.7743 0.2500
0.0000 0.3977 0.7500
0.0000 0.6023 0.2500
0.3977 0.0000 0.7500
0.3977 0.3977 0.2500
0.6023 0.0000 0.2500
0.6023 0.6023 0.7500
```

Properties
Energy above the most stable polymorph in this dataset ... 8.59 kcal/mol of atoms
Size of the total moment ... 10.59 μB per cell
E_form ... 3.49 eV per formula unit
Space-group type ... P6_3/mcm (193)